Record 1
DFT (PBE-GGA) results for AlFeNi2C after structural relaxation.

a = 3.773 Å, b = 3.773 Å, c = 3.736 Å
α = 90.00°, β = 90.00°, γ = 90.00°
Element x y z (fractional)
Al: 0.000 0.000 0.000
Fe: 0.500 0.500 0.000
Ni: 0.000 0.500 0.500
Ni: 0.500 0.000 0.500
C: 0.500 0.500 0.500

formation enthalpy at 0 K	-18	kJ per mole of atoms
crystal system	tetragonal

***

Record 2
DFT (PBE-GGA) results for AlFe2OsC after structural relaxation.

a = 3.771 Å, b = 3.771 Å, c = 4.013 Å
α = 90.00°, β = 90.00°, γ = 90.00°
Element x y z (fractional)
Al: 0.000 0.000 0.000
Fe: 0.000 0.500 0.500
Fe: 0.500 0.000 0.500
Os: 0.500 0.500 0.000
C: 0.500 0.500 0.500

formation enthalpy at 0 K	-4	kJ per mole of atoms
crystal system	tetragonal

***

Record 3
DFT (PBE-GGA) results for PaAlFe2C after structural relaxation.

a = 5.758 Å, b = 5.758 Å, c = 6.610 Å
α = 90.00°, β = 90.00°, γ = 140.38°
Element x y z (fractional)
Pa: 0.068 0.932 0.750
Pa: 0.932 0.068 0.250
Al: 0.217 0.783 0.250
Al: 0.783 0.217 0.750
Fe: 0.340 0.660 0.558
Fe: 0.340 0.660 0.942
Fe: 0.660 0.340 0.058
Fe: 0.660 0.340 0.442
C: 0.500 0.500 0.000
C: 0.500 0.500 0.500

formation enthalpy at 0 K	-24	kJ per mole of atoms
crystal system	orthorhombic

***

Record 4
DFT (PBE-GGA) results for PmAlFe2C after structural relaxation.

a = 5.694 Å, b = 5.694 Å, c = 6.795 Å
α = 90.00°, β = 90.00°, γ = 138.29°
Element x y z (fractional)
Pm: 0.054 0.946 0.750
Pm: 0.946 0.054 0.250
Al: 0.228 0.772 0.250
Al: 0.772 0.228 0.750
Fe: 0.338 0.662 0.573
Fe: 0.338 0.662 0.927
Fe: 0.662 0.338 0.073
Fe: 0.662 0.338 0.427
C: 0.500 0.500 0.000
C: 0.500 0.500 0.500

formation enthalpy at 0 K	-21	kJ per mole of atoms
crystal system	orthorhombic

***

Number 1: mass density 6.63 Mg/m³, density of states at the Fermi level 0.51 states/eV per atom. Number 2: mass density 9.92 Mg/m³, density of states at the Fermi level 1.08 states/eV per atom. Number 3: mass density 9.07 Mg/m³, density of states at the Fermi level 0.83 states/eV per atom. Number 4: mass density 6.70 Mg/m³, density of states at the Fermi level 0.81 states/eV per atom.